Record 1
Density functional theory data (GGA-PBE) for a relaxed HfBeIr crystal.

Calculated values
Formation energy (eV per atom): -0.55
Electronic total energy (eV/atom): -8.06
Distance to the lowest polymorph of the same formula (meV/atom): 233.2

Cell and atoms, written as CIF:
```
data_HfBeIr
_chemical_formula_sum 'Hf1 Be1 Ir1'
_cell_length_a 3.006
_cell_length_b 3.006
_cell_length_c 5.271
_cell_angle_alpha 106.57
_cell_angle_beta 106.57
_cell_angle_gamma 90.00
_symmetry_space_group_name_H-M 'P 1'
_symmetry_Int_Tables_number 1
_symmetry_space_group_name_Hall 'P 1'
loop_
_atom_site_label
_atom_site_type_symbol
_atom_site_fract_x
_atom_site_fract_y
_atom_site_fract_z
Hf1 Hf 0.283 0.283 0.565
Be1 Be 0.588 0.588 0.176
Ir1 Ir 0.979 0.979 0.959
```


Record 2
Density functional theory data (GGA-PBE) for a relaxed HfBe3Ir crystal.

Calculated values
Formation energy (eV per atom): 0.01
Electronic total energy (eV/atom): -5.99
Distance to the lowest polymorph of the same formula (meV/atom): 0.0

Cell and atoms, written as CIF:
```
data_HfBe3Ir
_chemical_formula_sum 'Hf1 Be3 Ir1'
_cell_length_a 4.130
_cell_length_b 4.130
_cell_length_c 4.130
_cell_angle_alpha 90.00
_cell_angle_beta 90.00
_cell_angle_gamma 90.00
_symmetry_space_group_name_H-M 'P 1'
_symmetry_Int_Tables_number 1
_symmetry_space_group_name_Hall 'P 1'
loop_
_atom_site_label
_atom_site_type_symbol
_atom_site_fract_x
_atom_site_fract_y
_atom_site_fract_z
Be1 Be 0.000 0.500 0.000
Be2 Be 0.000 0.000 0.500
Be3 Be 0.500 0.000 0.000
Ir1 Ir 0.000 0.000 0.000
Hf1 Hf 0.500 0.500 0.500
```


Record 3
Density functional theory data (GGA-PBE) for a relaxed Hf2Be16Ir crystal.

Calculated values
Formation energy (eV per atom): -0.30
Electronic total energy (eV/atom): -4.95

Cell and atoms, written as CIF:
```
data_Hf2Be16Ir
_chemical_formula_sum 'Hf2 Be16 Ir1'
_cell_length_a 5.742
_cell_length_b 5.742
_cell_length_c 5.742
_cell_angle_alpha 83.23
_cell_angle_beta 83.23
_cell_angle_gamma 83.23
_symmetry_space_group_name_H-M 'P 1'
_symmetry_Int_Tables_number 1
_symmetry_space_group_name_Hall 'P 1'
loop_
_atom_site_label
_atom_site_type_symbol
_atom_site_fract_x
_atom_site_fract_y
_atom_site_fract_z
Be1 Be 0.285 0.712 0.998
Be2 Be 0.285 0.998 0.712
Be3 Be 0.998 0.285 0.712
Be4 Be 0.841 0.345 0.345
Be5 Be 0.998 0.712 0.285
Be6 Be 0.108 0.108 0.108
Be7 Be 0.001 0.001 0.498
Be8 Be 0.498 0.001 0.001
Be9 Be 0.712 0.998 0.285
Be10 Be 0.655 0.655 0.158
Be11 Be 0.345 0.345 0.841
Be12 Be 0.158 0.655 0.655
Be13 Be 0.345 0.841 0.345
Be14 Be 0.001 0.498 0.001
Be15 Be 0.712 0.285 0.998
Be16 Be 0.655 0.158 0.655
Hf1 Hf 0.342 0.342 0.342
Hf2 Hf 0.658 0.658 0.658
Ir1 Ir 0.904 0.904 0.904
```


Record 4
Density functional theory data (GGA-PBE) for a relaxed HfBe2Ir2 crystal.

Calculated values
Formation energy (eV per atom): -0.69
Electronic total energy (eV/atom): -7.71
Distance to the lowest polymorph of the same formula (meV/atom): 0.0

Cell and atoms, written as CIF:
```
data_HfBe2Ir2
_chemical_formula_sum 'Hf2 Be4 Ir4'
_cell_length_a 6.763
_cell_length_b 6.763
_cell_length_c 2.847
_cell_angle_alpha 90.00
_cell_angle_beta 90.00
_cell_angle_gamma 90.00
_symmetry_space_group_name_H-M 'P 1'
_symmetry_Int_Tables_number 1
_symmetry_space_group_name_Hall 'P 1'
loop_
_atom_site_label
_atom_site_type_symbol
_atom_site_fract_x
_atom_site_fract_y
_atom_site_fract_z
Ir1 Ir 0.173 0.673 0.500
Ir2 Ir 0.327 0.173 0.500
Ir3 Ir 0.673 0.827 0.500
Ir4 Ir 0.827 0.327 0.500
Hf1 Hf 0.000 0.000 0.000
Hf2 Hf 0.500 0.500 0.000
Be1 Be 0.884 0.616 0.000
Be2 Be 0.616 0.116 0.000
Be3 Be 0.384 0.884 0.000
Be4 Be 0.116 0.384 0.000
```


Record 5
Density functional theory data (GGA-PBE) for a relaxed Hf2BeIr crystal.

Calculated values
Formation energy (eV per atom): -0.42
Electronic total energy (eV/atom): -8.55
Distance to the lowest polymorph of the same formula (meV/atom): 152.3

Cell and atoms, written as CIF:
```
data_Hf2BeIr
_chemical_formula_sum 'Hf2 Be1 Ir1'
_cell_length_a 4.577
_cell_length_b 4.577
_cell_length_c 4.577
_cell_angle_alpha 60.00
_cell_angle_beta 60.00
_cell_angle_gamma 60.00
_symmetry_space_group_name_H-M 'P 1'
_symmetry_Int_Tables_number 1
_symmetry_space_group_name_Hall 'P 1'
loop_
_atom_site_label
_atom_site_type_symbol
_atom_site_fract_x
_atom_site_fract_y
_atom_site_fract_z
Ir1 Ir 0.500 0.500 0.500
Hf1 Hf 0.750 0.750 0.750
Hf2 Hf 0.250 0.250 0.250
Be1 Be 0.000 0.000 0.000
```


Record 6
Density functional theory data (GGA-PBE) for a relaxed Hf2BeIr crystal.

Calculated values
Formation energy (eV per atom): -0.51
Electronic total energy (eV/atom): -8.63
Distance to the lowest polymorph of the same formula (meV/atom): 69.0

Cell and atoms, written as CIF:
```
data_Hf2BeIr
_chemical_formula_sum 'Hf2 Be1 Ir1'
_cell_length_a 3.264
_cell_length_b 3.264
_cell_length_c 6.232
_cell_angle_alpha 90.00
_cell_angle_beta 90.00
_cell_angle_gamma 90.00
_symmetry_space_group_name_H-M 'P 1'
_symmetry_Int_Tables_number 1
_symmetry_space_group_name_Hall 'P 1'
loop_
_atom_site_label
_atom_site_type_symbol
_atom_site_fract_x
_atom_site_fract_y
_atom_site_fract_z
Be1 Be 0.500 0.500 0.000
Hf1 Hf 0.000 0.000 0.243
Hf2 Hf 0.000 0.000 0.757
Ir1 Ir 0.500 0.500 0.500
```